Record 1
This record from the Open Quantum Materials Database describes an optimized crystal structure of AgAs5Pd3. The functional is GGA-PBE.

Results
Energy in eV per formula unit: -40.54
Space group: P6/mmm

Cell: 5.4384 5.4384 6.9643 Å, 90.00 90.00 120.00°
Positions (direct):
Ag (0.0000, 0.0000, 0.0000)
As (0.6667, 0.3333, 0.2017)
As (0.3333, 0.6667, 0.2017)
As (0.0000, 0.0000, 0.5000)
As (0.6667, 0.3333, 0.7983)
As (0.3333, 0.6667, 0.7983)
Pd (0.5000, 0.0000, 0.5000)
Pd (0.0000, 0.5000, 0.5000)
Pd (0.5000, 0.5000, 0.5000)

Record 2
This record from the Open Quantum Materials Database describes an optimized crystal structure of BeZn2Re. The functional is GGA-PBE.

Results
Energy in eV per formula unit: -17.07
Space group: F-43m

Cell: 4.1639 4.1639 4.1639 Å, 60.00 60.00 60.00°
Positions (direct):
Be (0.5000, 0.5000, 0.5000)
Re (0.2500, 0.2500, 0.2500)
Zn (0.0000, 0.0000, 0.0000)
Zn (0.7500, 0.7500, 0.7500)

Record 3
This record from the Open Quantum Materials Database describes an optimized crystal structure of PuZn. The functional is GGA-PBE.

Results
Energy in eV per formula unit: -15.30
ΔE_f in eV/atom: 0.044
Space group: Pbcm

Cell: 4.6240 6.1209 4.6481 Å, 90.00 90.00 90.00°
Site moments in Bohr magnetons follow the coordinates.
Positions (direct):
Pu (0.0753, 0.5379, 0.0000)  0.21
Pu (0.5753, 0.7121, 0.0000)  0.18
Pu (0.2581, 0.5379, 0.5000)  0.18
Pu (0.7581, 0.7121, 0.5000)  0.21
Zn (0.0392, 0.0297, 0.0000)  0.00
Zn (0.5392, 0.2203, 0.0000)  0.00
Zn (0.2941, 0.0297, 0.5000)  0.00
Zn (0.7941, 0.2203, 0.5000)  0.00

Record 4
This record from the Open Quantum Materials Database describes an optimized crystal structure of SmDyAu2. The functional is GGA-PBE.

Results
Energy in eV per formula unit: -19.27
ΔE_f in eV/atom: -0.857
Space group: Amm2

Cell: 4.6915 5.8310 5.8310 Å, 37.45 90.00 90.00°
Positions (direct):
Au (0.5000, 0.0890, 0.0890)
Au (0.0000, 0.9112, 0.9112)
Dy (0.0000, 0.6396, 0.6396)
Sm (0.5000, 0.3602, 0.3602)

Record 5
This record from the Open Quantum Materials Database describes an optimized crystal structure of CuAg4. The functional is GGA-PBE.

Results
Energy in eV per formula unit: -14.80
ΔE_f in eV/atom: 0.043
ΔE to the lowest computed polymorph in eV per atom: 0.019
Space group: P2_1/m

Cell: 7.1231 2.9060 8.2780 Å, 90.00 101.73 90.00°
Positions (direct):
Ag (0.5901, 0.7500, 0.1421)
Ag (0.2669, 0.2500, 0.2235)
Ag (0.9646, 0.7500, 0.3417)
Ag (0.6561, 0.2500, 0.4555)
Ag (0.3439, 0.7500, 0.5445)
Ag (0.0354, 0.2500, 0.6583)
Ag (0.7332, 0.7500, 0.7765)
Ag (0.4099, 0.2500, 0.8579)
Cu (0.8801, 0.2500, 0.0533)
Cu (0.1199, 0.7500, 0.9467)

Record 6
This record from the Open Quantum Materials Database describes an optimized crystal structure of HfTlCoOs. The functional is GGA-PBE.

Results
Energy in eV per formula unit: -28.85
ΔE to the lowest computed polymorph in eV per atom: 0.346
Space group: F-43m

Cell: 4.5899 4.5899 4.5899 Å, 60.00 60.00 60.00°
Site moments in Bohr magnetons follow the coordinates.
Positions (direct):
Co (0.7500, 0.7500, 0.7500)  1.59
Hf (0.2500, 0.2500, 0.2500)  -0.08
Os (0.5000, 0.5000, 0.5000)  0.78
Tl (0.0000, 0.0000, 0.0000)  -0.01

Record 7
This record from the Open Quantum Materials Database describes an optimized crystal structure of AgBiAu. The functional is GGA-PBE.

Results
Energy in eV per formula unit: -10.16
ΔE to the lowest computed polymorph in eV per atom: 0.000
Space group: Pnma

Cell: 5.8759 4.4662 10.2168 Å, 90.00 90.00 90.00°
Positions (direct):
Ag (0.0300, 0.2500, 0.2389)
Ag (0.5300, 0.2500, 0.2611)
Ag (0.4700, 0.7500, 0.7389)
Ag (0.9700, 0.7500, 0.7611)
Au (0.7675, 0.7500, 0.1448)
Au (0.2675, 0.7500, 0.3552)
Au (0.7325, 0.2500, 0.6448)
Au (0.2325, 0.2500, 0.8552)
Bi (0.2660, 0.7500, 0.0485)
Bi (0.7660, 0.7500, 0.4515)
Bi (0.2340, 0.2500, 0.5485)
Bi (0.7340, 0.2500, 0.9515)

Record 8
This record from the Open Quantum Materials Database describes an optimized crystal structure of HoCuSb2. The functional is GGA-PBE.

Results
Energy in eV per formula unit: -18.93
Space group: P4/nmm

Cell: 4.3031 4.3031 9.7890 Å, 90.00 90.00 90.00°
Positions (direct):
Cu (0.0000, 0.0000, 0.5000)
Cu (0.5000, 0.5000, 0.5000)
Ho (0.5000, 0.0000, 0.2501)
Ho (0.0000, 0.5000, 0.7499)
Sb (0.0000, 0.0000, 0.0000)
Sb (0.5000, 0.5000, 0.0000)
Sb (0.0000, 0.5000, 0.3370)
Sb (0.5000, 0.0000, 0.6630)